[1]
A geometry-optimized Pm3SmEr7 structure. Source: the Alexandria database, functional GGA-PBE.

a b c (Å): 5.8055 8.4112 8.4112
angles (deg): 83.37 110.18 110.18
Atoms (fractional coordinates):
Pm1 0.0000 0.7886 0.2114
Pm2 0.5000 0.0000 0.0000
Pm3 0.0000 0.2114 0.7886
Sm1 0.5000 0.5000 0.5000
Er1 0.2050 0.2051 0.2051
Er2 0.2903 0.9842 0.5964
Er3 0.7097 0.4036 0.0158
Er4 0.2903 0.5964 0.9842
Er5 0.0000 0.5000 0.5000
Er6 0.7097 0.0158 0.4036
Er7 0.7950 0.7949 0.7949

Energy above the lowest structure with this stoichiometry (eV/atom): 0.114


[2]
A geometry-optimized RbYGe2Sb structure. Source: the Alexandria database, functional GGA-PBE.

a b c (Å): 5.6128 5.7169 5.6128
angles (deg): 90.00 90.00 90.00
Atoms (fractional coordinates):
Y1 0.0000 0.5000 0.0000
Sb1 0.0000 0.0000 0.0000
Ge1 0.0000 0.0000 0.5000
Ge2 0.5000 0.0000 0.0000
Rb1 0.5000 0.5000 0.5000

Total energy (eV/atom): -3.797


[3]
A geometry-optimized La3GeTe2 structure. Source: the Alexandria database, functional GGA-PBE.

a b c (Å): 7.8787 7.8787 14.3405
angles (deg): 100.59 100.59 109.35
Atoms (fractional coordinates):
La1 0.1628 0.6826 0.8256
La2 0.6628 0.1430 0.8256
La3 0.0872 0.0674 0.6744
La4 0.5872 0.6070 0.6744
La5 0.0212 0.5212 0.5000
La6 0.4788 0.9788 0.5000
La7 0.3930 0.4128 0.3256
La8 0.9326 0.9128 0.3256
La9 0.8570 0.3372 0.1744
La10 0.3174 0.8372 0.1744
La11 0.2288 0.2288 0.0000
La12 0.7712 0.7712 0.0000
Ge1 0.9164 0.9164 0.8327
Ge2 0.3336 0.8336 0.6673
Ge3 0.1664 0.6664 0.3327
Ge4 0.0836 0.0836 0.1673
Te1 0.9977 0.4977 0.9954
Te2 0.4191 0.4191 0.8381
Te3 0.8309 0.3309 0.6619
Te4 0.2523 0.2523 0.5046
Te5 0.7477 0.7477 0.4954
Te6 0.6691 0.1691 0.3381
Te7 0.5809 0.5809 0.1619
Te8 0.5023 0.0023 0.0046

Energy above the lowest structure with this stoichiometry (eV/atom): 0.000


[4]
A geometry-optimized AgSn3Pd12 structure. Source: the Alexandria database, functional GGA-PBE.

a b c (Å): 4.0406 4.0406 16.0391
angles (deg): 90.00 90.00 90.00
Atoms (fractional coordinates):
Ag1 0.0000 0.0000 0.0000
Sn1 0.0000 0.0000 0.2457
Sn2 0.0000 0.0000 0.5000
Sn3 0.0000 0.0000 0.7543
Pd1 0.5000 0.5000 0.0000
Pd2 0.5000 0.5000 0.2505
Pd3 0.5000 0.5000 0.5000
Pd4 0.5000 0.5000 0.7495
Pd5 0.5000 0.0000 0.1248
Pd6 0.5000 0.0000 0.3743
Pd7 0.5000 0.0000 0.6257
Pd8 0.5000 0.0000 0.8752
Pd9 0.0000 0.5000 0.1248
Pd10 0.0000 0.5000 0.3743
Pd11 0.0000 0.5000 0.6257
Pd12 0.0000 0.5000 0.8752

Total energy (eV/atom): -5.192


[5]
A geometry-optimized SrLiMn2Co structure. Source: the Alexandria database, functional GGA-PBE.

a b c (Å): 4.7302 5.4100 4.7302
angles (deg): 90.00 90.00 90.00
Site moments in Bohr magnetons follow the coordinates.
Atoms (fractional coordinates):
Sr1 0.0000 0.5000 0.0000  -0.07
Mn1 0.0000 0.0000 0.5000  3.82
Mn2 0.5000 0.0000 0.0000  3.97
Co1 0.0000 0.0000 0.0000  1.00
Li1 0.5000 0.5000 0.5000  -0.04

Energy above the lowest structure with this stoichiometry (eV/atom): 0.000


[6]
A geometry-optimized Na5Sr2Li5 structure. Source: the Alexandria database, functional GGA-PBE.

a b c (Å): 5.1211 6.8004 11.4479
angles (deg): 90.00 90.00 90.00
Atoms (fractional coordinates):
Na1 0.5000 0.5000 0.5000
Na2 0.5000 0.7518 0.2409
Na3 0.5000 0.2482 0.7591
Na4 0.5000 0.2482 0.2409
Na5 0.5000 0.7518 0.7591
Sr1 0.0000 0.5000 0.0000
Sr2 0.0000 0.0000 0.5000
Li1 0.0000 0.5000 0.3368
Li2 0.0000 0.0000 0.8534
Li3 0.0000 0.0000 0.1466
Li4 0.0000 0.5000 0.6632
Li5 0.5000 0.0000 0.0000

Energy above the lowest structure with this stoichiometry (eV/atom): 0.000


[7]
A geometry-optimized RbBi3As structure. Source: the Alexandria database, functional GGA-PBE.

a b c (Å): 5.7519 5.7519 5.7519
angles (deg): 90.00 90.00 90.00
Atoms (fractional coordinates):
As1 0.0000 0.0000 0.0000
Bi1 0.0000 0.5000 0.0000
Bi2 0.0000 0.0000 0.5000
Bi3 0.5000 0.0000 0.0000
Rb1 0.5000 0.5000 0.5000

Energy above the lowest structure with this stoichiometry (eV/atom): 0.000


[8]
A geometry-optimized Dy2Al9Au3 structure. Source: the Alexandria database, functional GGA-PBE.

a b c (Å): 7.9366 7.9366 10.3079
angles (deg): 91.28 114.00 116.28
Atoms (fractional coordinates):
Dy1 0.3295 0.2396 0.7525
Dy2 0.6705 0.7604 0.2475
Dy3 0.9871 0.5770 0.7475
Dy4 0.0129 0.4230 0.2525
Al1 0.4762 0.9303 0.7381
Al2 0.5238 0.0697 0.2619
Al3 0.6921 0.7381 0.7619
Al4 0.3079 0.2619 0.2381
Al5 0.4456 0.6502 0.8995
Al6 0.5544 0.3498 0.1005
Al7 0.2507 0.5461 0.6005
Al8 0.7493 0.4539 0.3995
Al9 0.8886 0.1386 0.7500
Al10 0.1114 0.8614 0.2500
Al11 0.1265 0.9874 0.9417
Al12 0.8735 0.0126 0.0583
Al13 0.5457 0.1848 0.5583
Al14 0.4543 0.8152 0.4417
Al15 0.8756 0.8664 0.5870
Al16 0.1244 0.1336 0.4130
Al17 0.7794 0.2887 0.9130
Al18 0.2206 0.7113 0.0870
Au1 0.5000 0.0000 0.0000
Au2 0.5000 0.5000 0.5000
Au3 0.8938 0.2078 0.4978
Au4 0.1062 0.7922 0.5022
Au5 0.2100 0.3960 0.0022
Au6 0.7900 0.6040 0.9978

Total energy (eV/atom): -4.155